Entry from Alexandria via LeMat-Bulk: an optimized crystal structure of TlAsS4 (GGA-PBE).

abc: 7.9792 6.7753 7.7741
angles: 115.83 102.56 90.00
Last column: nearest neighbours and their distance in Å.
Atoms (fractional coordinates):
As1 0.1989 0.5683 0.1366  3 S 2.19-2.36
S1 0.0000 0.7500 0.0000  2 As 2.36
S2 0.5236 0.2579 0.1403  1 S 1.91
S3 0.2011 0.7254 0.4508  1 As 2.19
S4 0.4764 0.7421 0.8597  1 S 1.91
S5 0.5236 0.8824 0.1403  1 S 1.91
As2 0.8011 0.4317 0.8634  3 S 2.19-2.36
S6 0.7989 0.2746 0.5492  1 As 2.19
Tl1 0.8655 0.7923 0.5847  3 S 3.04-3.31
Tl2 0.1345 0.2077 0.4153  3 S 3.04-3.31
S7 0.0000 0.2500 0.0000  2 As 2.36
S8 0.4764 0.1176 0.8597  1 S 1.91

Output
DOS(E_F) in states/eV per cell: 2.32
Energy relative to the elements, uncorrected in meV/atom: -49
Spin magnetization in μB per cell: 0.00
Symmetry: C2/m, No. 12
Relative energy among the computed polymorphs in meV per atom: 30
Total energy in eV per atom: -3.970